(1)
Below is an optimized crystal structure of Tb2NdGa, with properties calculated at the PBE level.

Cell: 3.6481 3.6481 30.9824 Å, 90.00 90.00 120.00°
Space group R3m (No. 160, hexagonal axes)
Unique sites:
Tb: 0.0000 0.0000 0.0000 [3 per cell]
Tb: 0.0000 0.0000 0.1941 [3 per cell]
Nd: 0.0000 0.0000 0.4307 [3 per cell]
Ga: 0.0000 0.0000 0.5967 [3 per cell]

Output
The excess energy over the best structure of this formula in the dataset comes out at 89.8 meV per atom. For the density of states at the Fermi level, the calculation gives 1.101 states/eV/atom. The density comes out at 7.42 g/cm3. The formation energy comes out at -191.6 meV per atom.

=====

(2)
Below is an optimized crystal structure of LaPrCdRh, with properties calculated at the PBE level.

Cell: 7.4773 7.4773 7.4773 Å, 90.00 90.00 90.00°
Space group F-43m (No. 216)
Unique sites:
La: 0.0000 0.0000 0.0000 [4 per cell]
Pr: 0.0000 0.0000 0.5000 [4 per cell]
Cd: 0.2500 0.2500 0.7500 [4 per cell]
Rh: 0.2500 0.2500 0.2500 [4 per cell]

Output
For the density of states at the Fermi level, the calculation gives 0.617 states/eV/atom. The density comes out at 7.87 g/cm3. The formation energy comes out at -407.9 meV per atom.